No. 1
LaSbCl2 | SCAN | PBEsol geometry

Results
N(E_F) = 0.07 states/eV per atom
Formation energy (no corrections) = -1.441 eV/atom
Total magnetic moment = 0.00 μB/f.u.

a = 4.433 Å, b = 4.433 Å, c = 5.566 Å
α = 90.00°, β = 90.00°, γ = 90.00°
Sites, in units of the cell vectors:
La (0.000, 0.000, 0.000)
Sb (0.500, 0.500, 0.177)
Cl (0.000, 0.000, 0.497)
Cl (0.500, 0.500, 0.713)

No. 2
ScMnCl2 | SCAN | PBEsol geometry

Results
N(E_F) = 0.34 states/eV per atom
Offset from the most stable computed form = 318 meV per atom
Formation energy (no corrections) = -0.719 eV/atom
Total magnetic moment = 3.46 μB/f.u.

a = 4.360 Å, b = 4.360 Å, c = 3.270 Å
α = 90.00°, β = 90.00°, γ = 90.00°
Sites, in units of the cell vectors:
Sc (0.000, 0.000, 0.000)
Mn (0.500, 0.500, 0.000)
Cl (0.000, 0.500, 0.500)
Cl (0.500, 0.000, 0.500)

No. 3
Be5Ni | SCAN | PBEsol geometry

Results
N(E_F) = 0.23 states/eV per atom
Formation energy = -196 meV/atom
Total magnetic moment = 0.02 μB/f.u.

a = 4.112 Å, b = 4.112 Å, c = 4.896 Å
α = 107.49°, β = 107.49°, γ = 38.48°
Sites, in units of the cell vectors:
Be (0.000, 0.000, 0.000)
Be (0.332, 0.332, 0.667)
Be (0.333, 0.333, 0.166)
Be (0.667, 0.667, 0.834)
Be (0.668, 0.668, 0.333)
Ni (0.000, 0.000, 0.500)

No. 4
Rb2CeO3 | SCAN | PBEsol geometry

Results
N(E_F) = 0.00 states/eV per atom
Formation energy (no corrections) = -2.609 eV/atom
Total magnetic moment = 0.00 μB/f.u.

a = 6.322 Å, b = 6.322 Å, c = 6.844 Å
α = 99.08°, β = 99.08°, γ = 119.82°
Sites, in units of the cell vectors:
Rb (0.000, 0.000, 0.000)
Rb (0.156, 0.844, 0.500)
Rb (0.500, 0.500, 0.500)
Rb (0.844, 0.156, 0.500)
Ce (0.333, 0.667, 0.000)
Ce (0.667, 0.333, 0.000)
O (0.066, 0.463, 0.188)
O (0.333, 0.333, 0.816)
O (0.463, 0.066, 0.188)
O (0.537, 0.934, 0.812)
O (0.667, 0.667, 0.184)
O (0.934, 0.537, 0.812)

No. 5
MgCuAu2 | SCAN | PBEsol geometry

Results
N(E_F) = 0.30 states/eV per atom
Formation energy = -345 meV/atom
Total magnetic moment = 0.00 μB/f.u.

a = 3.371 Å, b = 3.371 Å, c = 5.578 Å
α = 90.00°, β = 90.00°, γ = 90.00°
Sites, in units of the cell vectors:
Mg (0.000, 0.000, 0.000)
Cu (0.500, 0.500, 0.736)
Au (0.000, 0.000, 0.526)
Au (0.500, 0.500, 0.237)

No. 6
CaV4Ag2O12 | SCAN | PBEsol geometry

Results
N(E_F) = 0.00 states/eV per atom
Formation energy (no corrections) = -2.332 eV/atom
Total magnetic moment = 0.00 μB/f.u.

a = 10.249 Å, b = 10.249 Å, c = 4.936 Å
α = 90.00°, β = 90.00°, γ = 90.00°
Sites, in units of the cell vectors:
Ca (0.250, 0.250, 0.000)
Ca (0.750, 0.750, 0.000)
V (0.026, 0.750, 0.500)
V (0.250, 0.526, 0.500)
V (0.250, 0.974, 0.500)
V (0.474, 0.750, 0.500)
V (0.526, 0.250, 0.500)
V (0.750, 0.026, 0.500)
V (0.750, 0.474, 0.500)
V (0.974, 0.250, 0.500)
Ag (0.000, 0.000, 0.000)
Ag (0.000, 0.500, 0.000)
Ag (0.500, 0.000, 0.000)
Ag (0.500, 0.500, 0.000)
O (0.061, 0.178, 0.258)
O (0.061, 0.322, 0.742)
O (0.130, 0.630, 0.652)
O (0.130, 0.870, 0.348)
O (0.178, 0.061, 0.742)
O (0.178, 0.439, 0.258)
O (0.322, 0.061, 0.258)
O (0.322, 0.439, 0.742)
O (0.370, 0.630, 0.348)
O (0.370, 0.870, 0.652)
O (0.439, 0.178, 0.742)
O (0.439, 0.322, 0.258)
O (0.561, 0.678, 0.742)
O (0.561, 0.822, 0.258)
O (0.630, 0.130, 0.348)
O (0.630, 0.370, 0.652)
O (0.678, 0.561, 0.258)
O (0.678, 0.939, 0.742)
O (0.822, 0.561, 0.742)
O (0.822, 0.939, 0.258)
O (0.870, 0.130, 0.652)
O (0.870, 0.370, 0.348)
O (0.939, 0.678, 0.258)
O (0.939, 0.822, 0.742)